Density functional theory data (meta-GGA SCAN) for a crystal of Ba2CdTe relaxed with PBEsol.

```
Ba2CdTe
1.0
4.265 0.000 0.000
0.000 4.265 0.000
0.000 0.000 8.010
Ba Cd Te
2 1 1
Direct
0.000 0.000 0.243
0.000 0.000 0.757
0.500 0.500 0.500
0.500 0.500 0.000
```

Properties
calculated volume	36.4	Å³ per atom
formation energy (no corrections)	-1.054	eV per atom
mass density	5.865	g cm⁻³
relative energy among the computed polymorphs	0.000	eV/f.u.
total moment	0.00	μB per cell

***

Density functional theory data (meta-GGA SCAN) for a crystal of MgReSb2 relaxed with PBEsol.

```
MgReSb2
1.0
0.000 3.408 3.408
3.408 0.000 3.408
3.408 3.408 0.000
Mg Re Sb
1 1 2
Direct
0.000 0.000 0.000
0.250 0.250 0.250
0.500 0.500 0.500
0.750 0.750 0.750
```

Properties
calculated volume	19.8	Å³ per atom
formation energy (no corrections)	0.768	eV per atom
mass density	9.523	g cm⁻³
total moment	0.59	μB per cell

***

Density functional theory data (meta-GGA SCAN) for a crystal of NiPt2Br relaxed with PBEsol.

```
NiPt2Br
1.0
2.669 -4.651 0.000
2.669 4.651 0.000
-1.687 0.000 2.501
Ni Pt Br
1 2 1
Direct
0.000 0.000 0.000
0.000 0.500 0.500
0.500 0.000 0.500
0.500 0.500 0.000
```

Properties
calculated volume	15.5	Å³ per atom
formation energy (no corrections)	0.518	eV per atom
mass density	14.141	g cm⁻³
relative energy among the computed polymorphs	0.950	eV/f.u.
total moment	1.58	μB per cell